The following is a PBE-GGA calculation of a relaxed structure of PrHo3Te3, from the Alexandria database.

The volume is 448.5 Å³ per cell. As for the magnetization: 0.000 μB per formula unit. As for the uncorrected formation energy: -0.851 eV per atom.

Unit cell a=8.072 b=8.072 c=9.214 alpha=64.02 beta=64.02 gamma=60.00
Atoms (fractional coordinates):
Te: 0.368 0.079 0.794
Te: 0.079 0.759 0.794
Te: 0.241 0.632 0.206
Te: 0.632 0.921 0.206
Te: 0.759 0.368 0.794
Te: 0.921 0.241 0.206
Pr: 0.334 0.334 0.998
Pr: 0.666 0.666 0.002
Ho: 0.227 0.896 0.366
Ho: 0.488 0.773 0.634
Ho: 0.104 0.488 0.634
Ho: 0.512 0.227 0.366
Ho: 0.896 0.512 0.366
Ho: 0.773 0.104 0.634